Below is an optimized crystal structure of Sc3Ga12Ag, with properties calculated at the PBE level.

a = 4.1252 Å, b = 4.1252 Å, c = 16.6509 Å
α = 90.00°, β = 90.00°, γ = 90.00°
Closest atoms and distances in Å follow each position.
Space group P4/mmm (No. 123)
Symmetry-distinct sites (fractional):
Sc 0.0000 0.0000 0.0000 [1 per cell]  12 Ga 2.92
Sc 0.0000 0.0000 0.2473 [2 per cell]  12 Ga 2.91-2.97
Ga 0.0000 0.5000 0.1242 [4 per cell]  8 Ga 2.87-2.92, 4 Sc 2.91-2.92
Ga 0.0000 0.5000 0.3757 [4 per cell]  8 Ga 2.92-3.01, 2 Ag 2.92, 2 Sc 2.97
Ga 0.5000 0.5000 0.0000 [1 per cell]  4 Sc 2.92, 8 Ga 2.92
Ga 0.5000 0.5000 0.2440 [2 per cell]  8 Ga 2.87-3.01, 4 Sc 2.92
Ga 0.5000 0.5000 0.5000 [1 per cell]  4 Ag 2.92, 8 Ga 2.92
Ag 0.0000 0.0000 0.5000 [1 per cell]  12 Ga 2.92

Output
energy of formation from the pure elements	-0.343	eV/atom
calculated density	6326	kg/m3

=====

Below is an optimized crystal structure of NaLa2Y2, with properties calculated at the PBE level.

a = 9.9989 Å, b = 9.9989 Å, c = 3.6566 Å
α = 90.00°, β = 90.00°, γ = 90.00°
Closest atoms and distances in Å follow each position.
Space group P4/mbm (No. 127)
Symmetry-distinct sites (fractional):
Na 0.0000 0.0000 0.0000 [2 per cell]  2 Na 3.66, 4 Y 4.01
La 0.1810 0.3190 0.5000 [4 per cell]  6 Y 3.40-3.55, 2 La 3.66
Y 0.1164 0.6164 0.0000 [4 per cell]  3 Y 3.29-3.66, 6 La 3.40-3.55

Output
energy of formation from the pure elements	0.241	eV/atom
calculated density	4348	kg/m3
energy relative to the lowest polymorph listed for this composition	0.0000	eV/atom

=====

Below is an optimized crystal structure of SnAsPSe2, with properties calculated at the PBE level.

a = 4.9772 Å, b = 4.9772 Å, c = 4.7252 Å
α = 90.00°, β = 90.00°, γ = 90.00°
Closest atoms and distances in Å follow each position.
Space group P4/mmm (No. 123)
Symmetry-distinct sites (fractional):
Sn 0.0000 0.0000 0.0000 [1 per cell]  8 Se 3.43, 4 As 3.52
As 0.5000 0.5000 0.0000 [1 per cell]  2 P 2.36
P 0.5000 0.5000 0.5000 [1 per cell]  2 As 2.36, 4 Se 2.49
Se 0.0000 0.5000 0.5000 [2 per cell]  2 P 2.49

Output
E_form (uncorrected)	30	kJ/mol of atoms
calculated density	5426	kg/m3
energy relative to the lowest polymorph listed for this composition	0.0000	eV/atom